No. 1
The following is a DFT calculation (PBEsol) of an optimized crystal structure of BaAlIn2Si.

a = 5.119 Å, b = 5.119 Å, c = 5.978 Å
α = 90.00°, β = 90.00°, γ = 90.00°
Space group P4/mmm (No. 123)
Inequivalent atoms, fractional coordinates:
Ba: 0.000 0.000 0.000 x1
Al: 0.000 0.000 0.500 x1
In: 0.000 0.500 0.500 x2
Si: 0.500 0.500 0.000 x1

Computed properties:
Formation energy from raw total energies: 0.501 eV/atom

=====

No. 2
The following is a DFT calculation (PBEsol) of an optimized crystal structure of BaAl3Ir.

a = 4.807 Å, b = 4.807 Å, c = 4.807 Å
α = 90.00°, β = 90.00°, γ = 90.00°
Space group Pm-3m (No. 221)
Inequivalent atoms, fractional coordinates:
Ba: 0.000 0.000 0.000 x1
Al: 0.000 0.500 0.500 x3
Ir: 0.500 0.500 0.500 x1

Computed properties:
E_form: -0.482 eV/atom

=====

No. 3
The following is a DFT calculation (PBEsol) of an optimized crystal structure of Ba5AlIr2O11.

a = 18.723 Å, b = 5.733 Å, c = 11.101 Å
α = 90.00°, β = 90.00°, γ = 90.00°
Space group Pnma (No. 62)
Inequivalent atoms, fractional coordinates:
Ba: 0.026 0.250 0.104 x4
Ba: 0.075 0.250 0.472 x4
Ba: 0.139 0.750 0.690 x4
Ba: 0.172 0.750 0.045 x4
Ba: 0.247 0.250 0.871 x4
Al: 0.188 0.250 0.238 x4
Ir: 0.062 0.250 0.788 x4
Ir: 0.064 0.750 0.295 x4
O: 0.014 0.014 0.672 x8
O: 0.031 0.750 0.118 x4
O: 0.100 0.015 0.895 x8
O: 0.102 0.750 0.457 x4
O: 0.135 0.503 0.250 x8
O: 0.150 0.250 0.688 x4
O: 0.228 0.250 0.096 x4
O: 0.248 0.250 0.358 x4

Computed properties:
Formation energy from raw total energies: -2.175 eV/atom

=====

no.,V (Å³/f.u.)
1,156.7
2,111.1
3,297.9